Below is crystalline InNiAgF6 at its relaxed geometry, with properties calculated at the PBE with a Hubbard U level.

Output
As for the total DFT energy (no corrections): -75.82 eV per cell. As for the space group: No. 163. The total moment is 3.80 Bohr magnetons per cell. The calculation puts the density of states at the Fermi level at 0.000 states/eV/f.u.

Structure (extended XYZ):
```
18
Lattice="5.554 0.000 0.000 -2.777 4.810 0.000 0.000 0.000 10.241" Properties=species:S:1:pos:R:3 pbc="T T T"
In 0.000 3.206 2.560
In 2.777 1.603 7.681
Ni 0.000 3.206 7.681
Ni 2.777 1.603 2.560
Ag 0.000 0.000 0.000
Ag 0.000 0.000 5.121
F -0.976 1.795 6.581
F -1.710 3.067 8.781
F 0.976 1.795 8.781
F -0.735 4.757 6.581
F 2.042 0.052 1.460
F 1.066 1.742 3.661
F 1.710 3.067 6.581
F 0.735 4.757 8.781
F 3.512 0.052 3.661
F 1.801 3.015 1.460
F 4.487 1.742 1.460
F 3.753 3.015 3.661
```